Computed, not measured: crystalline Ba3CoSb2O9 at its relaxed geometry at the PBE with a Hubbard U level of DFT.

```
data_Ba3CoSb2O9
_space_group_name_H-M_alt 'P 1'
_space_group_IT_number 1
_cell_length_a 5.935
_cell_length_b 5.935
_cell_length_c 14.701
_cell_angle_alpha 90.00
_cell_angle_beta 90.00
_cell_angle_gamma 120.00
loop_
_space_group_symop_operation_xyz
'x,y,z'
loop_
_atom_site_label
_atom_site_fract_x
_atom_site_fract_y
_atom_site_fract_z
O1 0.518 0.037 0.750
O2 0.831 0.169 0.584
O3 0.831 0.662 0.584
O4 0.169 0.831 0.084
O5 0.831 0.662 0.916
O6 0.338 0.169 0.584
O7 0.037 0.518 0.250
O8 0.662 0.831 0.416
O9 0.169 0.831 0.416
O10 0.338 0.169 0.916
O11 0.482 0.518 0.250
O12 0.169 0.338 0.416
O13 0.963 0.482 0.750
O14 0.169 0.338 0.084
O15 0.518 0.482 0.750
O16 0.482 0.963 0.250
O17 0.662 0.831 0.084
O18 0.831 0.169 0.916
Sb1 0.667 0.333 0.848
Sb2 0.333 0.667 0.348
Sb3 0.667 0.333 0.652
Sb4 0.333 0.667 0.152
Ba1 0.333 0.667 0.913
Ba2 0.667 0.333 0.413
Ba3 0.333 0.667 0.587
Ba4 0.667 0.333 0.087
Ba5 0.000 0.000 0.250
Ba6 0.000 0.000 0.750
Co1 0.000 0.000 0.000
Co2 0.000 0.000 0.500
```

Results
electronic total energy	-6.2821	eV per atom
E above lowest polymorph	0.000	eV per atom
density of states at the Fermi level	0.00	states/eV per cell
calculated volume	14.9	A^3/atom
crystal system	hexagonal